No. 1
A plane-wave DFT calculation with GGA-PBE was carried out for crystalline CdIn2Co at its relaxed geometry.

Summary:
density of states at the Fermi level = 1.7 states/eV/f.u.
ΔH_f (0 K) = 0.19 eV/atom

a = 3.0859 Å, b = 3.0859 Å, c = 8.5880 Å
α = 90.00°, β = 90.00°, γ = 90.00°
Last column: nearest neighbours and their distance in Å.
Space group P4mm (No. 99)
One atom of each set of equivalent atoms:
Cd 0.0000 0.0000 0.0000 (multiplicity 1)  4 Co 2.76, 4 Cd 3.09
In 0.0000 0.0000 0.3751 (multiplicity 1)  4 Co 2.67
In 0.5000 0.5000 0.6922 (multiplicity 1)  4 In 3.09, 4 Cd 3.43
Co 0.5000 0.5000 0.1966 (multiplicity 1)  4 In 2.67, 4 Cd 2.76


No. 2
A plane-wave DFT calculation with GGA-PBE was carried out for crystalline CdInCo2 at its relaxed geometry.

Summary:
density of states at the Fermi level = 4.3 states/eV/f.u.
ΔH_f (0 K) = 0.26 eV/atom

a = 3.1270 Å, b = 4.4501 Å, c = 9.1733 Å
α = 90.00°, β = 90.00°, γ = 90.00°
Last column: nearest neighbours and their distance in Å.
Space group Imm2 (No. 44)
One atom of each set of equivalent atoms:
Cd 0.0000 0.0000 0.0000 (multiplicity 2)  6 Co 2.75-2.87, 4 In 2.99-3.03
In 0.0000 0.5000 0.7827 (multiplicity 2)  6 Co 2.75-2.84, 4 Cd 2.99-3.03
Co 0.0000 0.0000 0.5412 (multiplicity 2)  2 Co 2.39
Co 0.0000 0.5000 0.2381 (multiplicity 2)  2 Co 2.39


No. 3
A plane-wave DFT calculation with GGA-PBE was carried out for crystalline CdInCo2 at its relaxed geometry.

Summary:
density of states at the Fermi level = 3.4 states/eV/f.u.
ΔH_f (0 K) = 0.19 eV/atom

a = 2.9937 Å, b = 2.9937 Å, c = 7.3469 Å
α = 90.00°, β = 90.00°, γ = 90.00°
Last column: nearest neighbours and their distance in Å.
Space group P4mm (No. 99)
One atom of each set of equivalent atoms:
Cd 0.0000 0.0000 0.0000 (multiplicity 1)  5 Co 2.79-2.98, 4 Cd 2.99
In 0.5000 0.5000 0.6503 (multiplicity 1)  5 Co 2.78-2.96, 4 In 2.99
Co 0.0000 0.0000 0.4053 (multiplicity 1)  4 Co 2.41
Co 0.5000 0.5000 0.2478 (multiplicity 1)  4 Co 2.41


Number 1 is which compound? CdIn2Co